BaIn2Hg10 | PBE | relaxed

Summary:
D(E_F) ... 4.141 states/eV/cell
Formation energy ... -119 meV/atom
Electronic total energy ... -12.0 eV/cell
Total magnetization ... 0.00 μB/f.u.
Symmetry ... No. 69

Cell: 10.4505 8.1414 8.0595 Å, 80.34 50.17 49.49°
Atoms (fractional coordinates):
Ba  0.0000  0.0000  0.0000
In  0.0000  0.5000  0.0000
In  0.5000  0.0000  0.5000
Hg  0.0000  0.0000  0.5000
Hg  0.9995  0.3516  0.6484
Hg  0.0005  0.6484  0.3516
Hg  0.2868  0.5017  0.4983
Hg  0.3516  0.9995  0.0005
Hg  0.4983  0.7132  0.2868
Hg  0.5000  0.5000  0.0000
Hg  0.5017  0.2868  0.7132
Hg  0.6484  0.0005  0.9995
Hg  0.7132  0.4983  0.5017

***

BaInHg2 | PBE | relaxed

Summary:
D(E_F) ... 6.936 states/eV/cell
Formation energy ... -82 meV/atom
Electronic total energy ... -11.2 eV/cell
Total magnetization ... 0.00 μB/f.u.
Symmetry ... No. 71

Cell: 3.7976 6.0222 12.9376 Å, 90.00 90.00 90.00°
Atoms (fractional coordinates):
Ba  0.0000  0.0000  0.0000
Ba  0.5000  0.5000  0.5000
In  0.0000  0.0000  0.5000
In  0.5000  0.5000  0.0000
Hg  0.0000  0.0000  0.2731
Hg  0.0000  0.0000  0.7269
Hg  0.5000  0.5000  0.2269
Hg  0.5000  0.5000  0.7731

***

Ba8In2Hg | PBE | relaxed

Summary:
D(E_F) ... 12.898 states/eV/cell
ΔE to the lowest computed polymorph ... 65 meV/atom
Formation energy ... -202 meV/atom
Electronic total energy ... -23.4 eV/cell
Total magnetization ... 0.00 μB/f.u.
Symmetry ... No. 71

Cell: 10.1194 10.1194 10.1194 Å, 145.58 118.27 72.63°
Atoms (fractional coordinates):
Ba  0.1288  0.3447  0.7841
Ba  0.1326  0.1326  0.0000
Ba  0.3361  0.0000  0.3361
Ba  0.4395  0.6553  0.7841
Ba  0.5605  0.3447  0.2159
Ba  0.6639  0.0000  0.6639
Ba  0.8674  0.8674  0.0000
Ba  0.8712  0.6553  0.2159
In  0.2977  0.7977  0.5000
In  0.7023  0.2023  0.5000
Hg  0.0000  0.5000  0.5000

***

BaIn5Hg7 | PBE | relaxed

Summary:
D(E_F) ... 5.292 states/eV/cell
Formation energy ... -117 meV/atom
Electronic total energy ... -19.3 eV/cell
Total magnetization ... 0.00 μB/f.u.
Symmetry ... No. 44

Cell: 8.1908 8.1908 8.1908 Å, 134.10 96.79 100.71°
Atoms (fractional coordinates):
Ba  0.0000  0.0000  0.0000
In  0.0039  0.4993  0.0063
In  0.0039  0.9976  0.5045
In  0.4930  0.4993  0.4955
In  0.4930  0.9976  0.9937
In  0.7586  0.2586  0.5000
Hg  0.1825  0.4954  0.6872
Hg  0.2262  0.7262  0.5000
Hg  0.3443  0.9985  0.3458
Hg  0.3616  0.3616  0.0000
Hg  0.6506  0.6506  0.0000
Hg  0.6527  0.9985  0.6542
Hg  0.8082  0.4954  0.3128

***

BaIn4Hg12 | PBE | relaxed

Summary:
D(E_F) ... 9.841 states/eV/cell
Formation energy ... -40 meV/atom
Electronic total energy ... -17.2 eV/cell
Total magnetization ... 0.00 μB/f.u.
Symmetry ... No. 204

Cell: 8.8281 8.8281 8.8281 Å, 109.47 109.47 109.47°
Atoms (fractional coordinates):
Ba  0.0000  0.0000  0.0000
In  0.0000  0.0000  0.5000
In  0.0000  0.5000  0.0000
In  0.5000  0.0000  0.0000
In  0.5000  0.5000  0.5000
Hg  0.1474  0.3526  0.4999
Hg  0.1474  0.6474  0.7948
Hg  0.2052  0.8526  0.3526
Hg  0.3526  0.2052  0.8526
Hg  0.3526  0.4999  0.1474
Hg  0.4999  0.1474  0.3526
Hg  0.5001  0.8526  0.6474
Hg  0.6474  0.5001  0.8526
Hg  0.6474  0.7948  0.1474
Hg  0.7948  0.1474  0.6474
Hg  0.8526  0.3526  0.2052
Hg  0.8526  0.6474  0.5001

***

Ba8In3Hg2 | PBE | relaxed

Summary:
D(E_F) ... 15.122 states/eV/cell
Formation energy ... -306 meV/atom
Electronic total energy ... -28.2 eV/cell
Total magnetization ... 0.00 μB/f.u.
Symmetry ... No. 65

Cell: 10.4315 10.4315 5.9382 Å, 90.00 90.00 110.41°
Atoms (fractional coordinates):
Ba  0.1235  0.8765  0.0000
Ba  0.1280  0.3777  0.5000
Ba  0.3736  0.6264  0.0000
Ba  0.3777  0.1280  0.5000
Ba  0.6223  0.8720  0.5000
Ba  0.6264  0.3736  0.0000
Ba  0.8720  0.6223  0.5000
Ba  0.8765  0.1235  0.0000
In  0.2548  0.2548  0.0000
In  0.5000  0.5000  0.5000
In  0.7452  0.7452  0.0000
Hg  0.2480  0.7520  0.5000
Hg  0.7520  0.2480  0.5000